(1)
! LaSbTe2 (PBE, relaxed); values from VASP
&SYSTEM
  ibrav = 0, nat = 4, ntyp = 3
/
ATOMIC_SPECIES
La 138.91 La.upf
Sb 121.76 Sb.upf
Te 127.60 Te.upf
ATOMIC_POSITIONS crystal
La 0.000 0.000 0.000
Sb 0.250 0.750 0.500
Te 0.500 0.500 0.000
Te 0.750 0.250 0.500
CELL_PARAMETERS angstrom
-2.288 2.288 5.697
2.288 -2.288 5.697
2.288 2.288 -5.697
! - ρ (g/cm3) = 7.18
! - energy relative to the elements, uncorrected (eV per atom) = -0.82



(2)
! La5Sb4Te (PBE, relaxed); values from VASP
&SYSTEM
  ibrav = 0, nat = 10, ntyp = 3
/
ATOMIC_SPECIES
La 138.91 La.upf
Sb 121.76 Sb.upf
Te 127.60 Te.upf
ATOMIC_POSITIONS crystal
La 0.000 0.000 0.000
La 0.200 0.200 0.000
La 0.397 0.397 0.000
La 0.603 0.603 0.000
La 0.800 0.800 0.000
Sb 0.099 0.599 0.500
Sb 0.300 0.800 0.500
Sb 0.700 0.200 0.500
Sb 0.901 0.401 0.500
Te 0.500 0.000 0.500
CELL_PARAMETERS angstrom
-2.310 3.264 11.550
2.310 -3.264 11.550
2.310 3.264 -11.550
! - ρ (g/cm3) = 6.24
! - energy relative to the elements, uncorrected (eV per atom) = -1.37



(3)
! La3Sb2Te (PBE, relaxed); values from VASP
&SYSTEM
  ibrav = 0, nat = 6, ntyp = 3
/
ATOMIC_SPECIES
La 138.91 La.upf
Sb 121.76 Sb.upf
Te 127.60 Te.upf
ATOMIC_POSITIONS crystal
La 0.000 0.000 0.000
La 0.329 0.329 0.000
La 0.671 0.671 0.000
Sb 0.165 0.665 0.500
Sb 0.835 0.335 0.500
Te 0.500 0.000 0.500
CELL_PARAMETERS angstrom
-2.308 3.262 6.911
2.308 -3.262 6.911
2.308 3.262 -6.911
! - ρ (g/cm3) = 6.29
! - energy relative to the elements, uncorrected (eV per atom) = -1.42